Na2NiHgO4: relaxed, PBE with a Hubbard U.

Cell lengths 3.103, 5.947, 5.841 Å; angles 113.14, 90.00, 90.00 degrees
Each line ends with the local moment (μB).
Fractional positions:
O 0.000 0.315 0.794  -0.19
O 0.500 0.749 0.781  0.35
Na 0.000 0.500 0.500  0.01
Ni 0.500 0.500 0.000  1.43
O 0.000 0.685 0.206  -0.19
Na 0.500 0.000 0.500  0.00
O 0.500 0.251 0.219  0.35
Hg 0.000 0.000 0.000  0.18

Values from the calculation:
V: 12.387 Å³ per atom
theoretical density: 6.19 Mg/m³
total moment: 0.25 μB per atom
calculated total energy: -31.7 eV/cell